# RbHg4Pb2

RbHg4Pb2 after structural relaxation (PBE, Alexandria).

Values from the calculation:
**VASP energy**: -1.42 eV per atom
**V**: 33.0 Å³/atom
**Energy of formation**: -0.05 eV per atom

Cell and atoms, written as CIF:
```
data_RbHg4Pb2
_chemical_formula_sum 'Rb2 Hg8 Pb4'
_cell_length_a 5.298
_cell_length_b 16.338
_cell_length_c 5.343
_cell_angle_alpha 90.00
_cell_angle_beta 90.00
_cell_angle_gamma 90.00
_space_group_name_H-M_alt 'C m m m'
_space_group_IT_number 65
_space_group_name_Hall '-C 2 2'
loop_
_atom_site_label
_atom_site_fract_x
_atom_site_fract_y
_atom_site_fract_z
Rb1 0.000 0.000 0.000
Hg1 0.000 0.188 0.500
Hg2 0.000 0.304 0.000
Pb1 0.000 0.402 0.500
```



# RbHg2Pb3

RbHg2Pb3 after structural relaxation (PBE, Alexandria).

Values from the calculation:
**VASP energy**: -2.19 eV per atom
**V**: 33.5 Å³/atom
**Energy of formation**: -0.07 eV per atom

Cell and atoms, written as CIF:
```
data_RbHg2Pb3
_chemical_formula_sum 'Rb2 Hg4 Pb6'
_cell_length_a 3.674
_cell_length_b 10.641
_cell_length_c 10.648
_cell_angle_alpha 76.03
_cell_angle_beta 85.15
_cell_angle_gamma 85.20
_space_group_name_H-M_alt 'P -1'
_space_group_IT_number 2
loop_
_space_group_symop_operation_xyz
'x,y,z'
'-x,-y,-z'
loop_
_atom_site_label
_atom_site_fract_x
_atom_site_fract_y
_atom_site_fract_z
Rb1 0.048 0.341 0.341
Hg1 0.480 0.142 0.141
Hg2 0.500 0.357 0.643
Pb1 0.000 0.128 0.872
Pb2 0.329 0.391 0.940
Pb3 0.331 0.941 0.390
```